No. 1
Computed, not measured: a geometry-optimized MgPaSn2 structure at the PBE level of DFT.

Unit cell a=3.749 b=3.749 c=7.000 alpha=90.00 beta=90.00 gamma=90.00
Positions (direct):
Mg 0.000 0.000 0.000
Pa 0.000 0.000 0.500
Sn 0.500 0.500 0.225
Sn 0.500 0.500 0.775

Calculated values
Symmetry: No. 123
DFT formation energy: -0.095 eV per atom
Energy above the lowest structure with this stoichiometry: 0.181 eV/atom
E: -19.5 eV per cell

No. 2
Computed, not measured: a geometry-optimized Pa3Si4B2 structure at the PBE level of DFT.

Unit cell a=5.561 b=5.561 c=7.647 alpha=94.57 beta=94.57 gamma=38.76
Positions (direct):
Pa 0.000 0.000 0.000
Pa 0.336 0.336 0.337
Pa 0.664 0.664 0.663
Si 0.061 0.061 0.378
Si 0.285 0.285 0.927
Si 0.715 0.715 0.073
Si 0.939 0.939 0.622
B 0.392 0.392 0.716
B 0.608 0.608 0.284

Calculated values
Symmetry: No. 12
E: -68.2 eV per cell
Formation energy from raw total energies: -0.5142 eV/atom

no.,spin magnetization (μB per atom)
1,0.239
2,0.000